(1)
LiGaAg2 (PBE-GGA, relaxed); crystal system = hexagonal
1.0
2.2511 -3.8990 0.0000
2.2511 3.8990 0.0000
0.0000 0.0000 8.0296
Ag Ga Li
4 2 2
Cartesian
2.2511 1.2997 0.6396 Ag
2.2511 1.2997 3.3752 Ag
2.2511 -1.2997 4.6544 Ag
2.2511 -1.2997 7.3900 Ag
2.2511 -1.2997 2.0074 Ga
2.2511 1.2997 6.0222 Ga
0.0000 0.0000 2.0074 Li
0.0000 0.0000 6.0222 Li



(2)
LiGaAg2 (PBE-GGA, relaxed); crystal system = tetragonal
1.0
-2.1008 -3.2894 -1.9695
3.5524 -0.8255 -2.4106
1.1267 -2.1556 2.3985
Ag Ga Li
2 1 1
Cartesian
-0.4871 -2.7225 0.2145 Ag
2.3395 -1.4906 -0.0061 Ag
0.0000 0.0000 0.0000 Ga
0.7258 -2.0574 -2.1900 Li



(3)
LiGaAg2 (PBE-GGA, relaxed); crystal system = hexagonal
1.0
-1.2670 2.0380 -3.8056
-2.9682 -0.5972 3.3278
2.0718 7.1268 3.1269
Ag Ga Li
4 2 2
Cartesian
-1.6634 1.7467 -1.1702 Ag
-0.9688 4.1359 -0.1219 Ag
-1.1946 4.4317 2.7710 Ag
-0.5000 6.8209 3.8193 Ag
-1.8832 2.0629 1.7317 Ga
-0.2802 6.5047 0.9174 Ga
0.0000 0.0000 0.0000 Li
1.0359 3.5634 1.5634 Li



(4)
Li3Ga2Ag (PBE-GGA, relaxed); crystal system = monoclinic
1.0
6.9672 -3.1885 0.0000
6.9672 3.1885 0.0000
-1.3403 0.0000 4.1411
Ag Ga Li
2 4 6
Cartesian
6.6321 -2.2660 1.0353 Ag
5.9620 2.2660 3.1058 Ag
4.4932 -0.7783 0.3350 Ga
8.7711 -0.7783 1.7355 Ga
3.8230 0.7783 2.4056 Ga
8.1009 0.7783 3.8060 Ga
11.5448 -0.7929 0.3645 Li
6.6321 0.7492 1.0353 Li
1.7194 -0.7929 1.7060 Li
10.8747 0.7929 2.4350 Li
5.9620 -0.7492 3.1058 Li
1.0493 0.7929 3.7766 Li



(5)
LiGa2Ag (PBE-GGA, relaxed); crystal system = cubic
1.0
0.0000 3.2060 3.2060
3.2060 0.0000 3.2060
3.2060 3.2060 0.0000
Ag Ga Li
1 2 1
Cartesian
3.2060 3.2060 3.2060 Ag
0.0000 0.0000 0.0000 Ga
1.6030 1.6030 1.6030 Ga
4.8091 4.8091 4.8091 Li



(6)
LiLuGaAg (PBE-GGA, relaxed); crystal system = cubic; magnetization = 0.000 μB per cell
1.0
0.0000 3.3780 3.3780
3.3780 0.0000 3.3780
3.3780 3.3780 0.0000
Ag Ga Li Lu
1 1 1 1
Cartesian
0.0000 0.0000 0.0000 Ag
3.3780 3.3780 3.3780 Ga
5.0670 5.0670 5.0670 Li
1.6890 1.6890 1.6890 Lu



(7)
LiLuGaAg (PBE-GGA, relaxed); crystal system = cubic; magnetization = 0.000 μB per cell
1.0
-2.1742 -4.1109 0.3587
-3.2023 -1.2282 -3.1611
0.9236 -3.4011 -3.0553
Ag Ga Li Lu
1 1 1 1
Cartesian
-1.1132 -2.1851 -1.4644 Ag
-2.2265 -4.3701 -2.9288 Ga
-3.3397 -6.5552 -4.3932 Li
0.0000 0.0000 0.0000 Lu



(8)
LiLuGaAg (PBE-GGA, relaxed); crystal system = cubic; magnetization = 0.000 μB per cell
1.0
0.0000 3.3059 3.3059
3.3059 0.0000 3.3059
3.3059 3.3059 0.0000
Ag Ga Li Lu
1 1 1 1
Cartesian
3.3059 3.3059 3.3059 Ag
1.6529 1.6529 1.6529 Ga
4.9588 4.9588 4.9588 Li
0.0000 0.0000 0.0000 Lu



(9)
Li4MgGa2Ag (PBE-GGA, relaxed); crystal system = tetragonal
1.0
-2.3882 2.8065 -2.5621
-1.5813 -3.4855 -2.3441
-4.9139 -0.4901 4.0436
Ag Ga Li Mg
1 2 4 1
Cartesian
0.0000 0.0000 0.0000 Ag
-2.3748 1.2855 -0.3094 Ga
-4.5238 -2.1151 1.8999 Ga
-1.9847 -0.3395 -2.4531 Li
-1.9249 -1.8559 -0.2387 Li
-2.4570 -0.2450 2.0218 Li
-4.9737 1.0263 1.8291 Li
-4.4417 -0.5846 -0.4313 Mg



(10)
Li4Mg2GaAg (PBE-GGA, relaxed); crystal system = tetragonal
1.0
4.5855 0.0000 0.0000
0.0000 4.5855 0.0000
0.0000 0.0000 6.4799
Ag Ga Li Mg
1 1 4 2
Cartesian
0.0000 0.0000 0.0000 Ag
2.2928 2.2928 3.2400 Ga
2.2928 2.2928 0.0000 Li
2.2928 0.0000 1.6505 Li
0.0000 0.0000 3.2400 Li
0.0000 2.2928 4.8295 Li
0.0000 2.2928 1.6320 Mg
2.2928 0.0000 4.8479 Mg



(11)
LiGaNiAg (PBE-GGA, relaxed); crystal system = cubic; magnetization = 0.006 μB per cell
1.0
0.0000 3.0367 3.0367
3.0367 0.0000 3.0367
3.0367 3.0367 0.0000
Ag Ga Li Ni
1 1 1 1
Cartesian
1.5184 1.5184 1.5184 Ag
0.0000 0.0000 0.0000 Ga
4.5551 4.5551 4.5551 Li
3.0367 3.0367 3.0367 Ni



(12)
LiGaNiAg (PBE-GGA, relaxed); crystal system = cubic; magnetization = 0.007 μB per cell
1.0
0.0000 3.0245 3.0245
3.0245 0.0000 3.0245
3.0245 3.0245 0.0000
Ag Ga Li Ni
1 1 1 1
Cartesian
3.0246 3.0246 3.0246 Ag
0.0000 0.0000 0.0000 Ga
4.5368 4.5368 4.5368 Li
1.5123 1.5123 1.5123 Ni



(13)
LiGaAgPd (PBE-GGA, relaxed); crystal system = cubic
1.0
0.0000 3.0999 3.0999
3.0999 0.0000 3.0999
3.0999 3.0999 0.0000
Ag Ga Li Pd
1 1 1 1
Cartesian
3.1000 3.1000 3.1000 Ag
1.5500 1.5500 1.5500 Ga
4.6499 4.6499 4.6499 Li
0.0000 0.0000 0.0000 Pd



(14)
Li4GaAgPd2 (PBE-GGA, relaxed); crystal system = tetragonal
1.0
-1.2617 -0.4566 -4.1847
4.1871 0.3146 -1.2968
0.6056 -6.0789 0.4807
Ag Ga Li Pd
1 1 4 2
Cartesian
0.0000 0.0000 0.0000 Ag
1.7655 -3.1104 -2.5004 Ga
1.4627 -0.0710 -2.7407 Li
-0.4819 -1.7240 -1.9741 Li
0.3028 -3.0394 0.2404 Li
2.5502 -4.4259 -0.2859 Li
2.2633 -1.5461 -0.5137 Pd
-0.1949 -4.6037 -1.7463 Pd



(15)
LiGaAgPd (PBE-GGA, relaxed); crystal system = cubic
1.0
0.0000 3.1362 3.1362
3.1362 0.0000 3.1362
3.1362 3.1362 0.0000
Ag Ga Li Pd
1 1 1 1
Cartesian
3.1362 3.1362 3.1362 Ag
0.0000 0.0000 0.0000 Ga
4.7043 4.7043 4.7043 Li
1.5681 1.5681 1.5681 Pd



(16)
Li2Sc2Ga2AgPd (PBE-GGA, relaxed); crystal system = tetragonal; magnetization = 0.002 μB per cell
1.0
4.5220 0.0000 0.0000
0.0000 4.5220 0.0000
0.0000 0.0000 6.4091
Ag Ga Li Pd Sc
1 2 2 1 2
Cartesian
0.0000 0.0000 0.0000 Ag
0.0000 2.2610 1.6485 Ga
2.2610 0.0000 4.7607 Ga
2.2610 2.2610 0.0000 Li
0.0000 0.0000 3.2046 Li
2.2610 2.2610 3.2046 Pd
2.2610 0.0000 1.6666 Sc
0.0000 2.2610 4.7426 Sc



(17)
Li4Ga2AgPt (PBE-GGA, relaxed); crystal system = tetragonal; magnetization = 0.000 μB per cell
1.0
-2.0990 2.5431 2.8268
-3.1419 0.6586 -2.9255
-3.0231 -4.8824 2.1476
Ag Ga Li Pt
1 2 4 1
Cartesian
0.0000 0.0000 0.0000 Ag
-1.8631 -0.0425 1.9914 Ga
-3.7804 -3.2391 0.1069 Ga
-2.6205 1.6008 -0.0493 Li
-2.3415 -0.9151 -0.9153 Li
-1.5116 -2.4412 1.0738 Li
-3.3021 -2.3664 3.0136 Li
-4.1320 -0.8404 1.0245 Pt



(18)
Li2Sc2Ga2AgPt (PBE-GGA, relaxed); crystal system = tetragonal; magnetization = 0.000 μB per cell
1.0
-3.6668 2.4495 0.9195
-0.9802 0.1817 -4.3929
-3.4635 -5.3913 0.5499
Ag Ga Li Pt Sc
1 2 2 1 2
Cartesian
-1.7318 -2.6957 0.2749 Ag
-2.6676 -0.0738 0.5922 Ga
-3.1194 -4.0020 -1.7790 Ga
0.0000 0.0000 0.0000 Li
-4.0553 -1.3801 -1.4618 Li
-2.3235 1.3156 -1.7367 Pt
-1.3222 -1.2044 -2.0643 Sc
-4.4648 -2.8713 0.8775 Sc



(19)
Li4GaAg2Sb (PBE-GGA, relaxed); crystal system = tetragonal
1.0
4.4978 0.0000 0.0000
0.0000 4.4978 0.0000
0.0000 0.0000 6.5665
Ag Ga Li Sb
2 1 4 1
Cartesian
0.0000 2.2489 1.4847 Ag
2.2489 0.0000 5.0818 Ag
0.0000 0.0000 0.0000 Ga
2.2489 2.2489 0.0000 Li
2.2489 0.0000 1.5655 Li
0.0000 0.0000 3.2833 Li
0.0000 2.2489 5.0010 Li
2.2489 2.2489 3.2833 Sb



(20)
Li4GaAg2Sn (PBE-GGA, relaxed); crystal system = tetragonal
1.0
-2.8201 1.4975 3.2059
-2.4817 -3.7592 -0.4271
3.5873 -2.8796 4.5006
Ag Ga Li Sn
2 1 4 1
Cartesian
-0.4034 -2.5518 0.8371 Ag
1.3398 -1.4586 5.0529 Ag
0.0000 0.0000 0.0000 Ga
-2.6509 -1.1309 1.3894 Li
-0.5654 0.0707 2.6626 Li
1.7936 -1.4398 2.2503 Li
1.5018 -4.0812 3.2273 Li
-0.8573 -2.5707 3.6397 Sn



(21)
Li4TlGaAg2 (PBE-GGA, relaxed); crystal system = tetragonal
1.0
-2.9539 3.1209 1.4251
-1.6200 0.3890 -4.2096
-4.3858 -4.7226 1.2515
Ag Ga Li Tl
2 1 4 1
Cartesian
-1.7854 -0.8557 -1.8265 Ag
-4.8874 -2.1119 1.6858 Ag
0.0000 0.0000 0.0000 Ga
-2.2869 1.7549 -1.3922 Li
-2.4954 0.4638 1.0032 Li
-2.1929 -2.3613 0.6258 Li
-4.1774 -3.4314 -1.1439 Li
-4.4799 -0.6064 -0.7665 Tl



(22)
LiYGaAg (PBE-GGA, relaxed); crystal system = cubic; magnetization = 0.000 μB per cell
1.0
-2.8860 -2.0412 3.1579
-4.5930 1.1657 0.1133
-3.2712 -3.1117 -1.4435
Ag Ga Li Y
1 1 1 1
Cartesian
-2.6876 -0.9968 0.4569 Ag
0.0000 0.0000 0.0000 Ga
-8.0627 -2.9904 1.3708 Li
-5.3751 -1.9936 0.9139 Y



(23)
LiYGaAg (PBE-GGA, relaxed); crystal system = cubic; magnetization = 0.001 μB per cell
1.0
0.0000 3.4290 3.4290
3.4290 0.0000 3.4290
3.4290 3.4290 0.0000
Ag Ga Li Y
1 1 1 1
Cartesian
0.0000 0.0000 0.0000 Ag
3.4290 3.4290 3.4290 Ga
5.1435 5.1435 5.1435 Li
1.7145 1.7145 1.7145 Y



(24)
LiYGaAg (PBE-GGA, relaxed); crystal system = cubic; magnetization = 0.000 μB per cell
1.0
0.0000 3.3509 3.3509
3.3509 0.0000 3.3509
3.3509 3.3509 0.0000
Ag Ga Li Y
1 1 1 1
Cartesian
0.0000 0.0000 0.0000 Ag
1.6754 1.6754 1.6754 Ga
5.0263 5.0263 5.0263 Li
3.3509 3.3509 3.3509 Y



(25)
Li4ZnGa2Ag (PBE-GGA, relaxed); crystal system = tetragonal
1.0
4.3619 0.0000 0.0000
0.0000 4.3619 0.0000
0.0000 0.0000 6.1679
Ag Ga Li Zn
1 2 4 1
Cartesian
0.0000 0.0000 3.0839 Ag
0.0000 2.1809 1.5269 Ga
2.1809 0.0000 4.6410 Ga
0.0000 0.0000 0.0000 Li
2.1809 0.0000 1.5367 Li
2.1809 2.1809 3.0839 Li
0.0000 2.1809 4.6312 Li
2.1809 2.1809 0.0000 Zn



(26)
Li4ZnGaAg2 (PBE-GGA, relaxed); crystal system = tetragonal
1.0
4.4297 0.0000 0.0000
0.0000 4.4297 0.0000
0.0000 0.0000 6.2543
Ag Ga Li Zn
2 1 4 1
Cartesian
0.0000 2.2148 1.5669 Ag
2.2148 0.0000 4.6875 Ag
2.2148 2.2148 3.1272 Ga
2.2148 2.2148 0.0000 Li
2.2148 0.0000 1.5613 Li
0.0000 0.0000 3.1272 Li
0.0000 2.2148 4.6930 Li
0.0000 0.0000 0.0000 Zn



(27)
Li4Zn2GaAg (PBE-GGA, relaxed); crystal system = tetragonal
1.0
4.3620 0.0000 0.0000
0.0000 4.3620 0.0000
0.0000 0.0000 6.1754
Ag Ga Li Zn
1 1 4 2
Cartesian
0.0000 0.0000 0.0000 Ag
2.1810 2.1810 3.0877 Ga
2.1810 2.1810 0.0000 Li
2.1810 0.0000 1.5545 Li
0.0000 0.0000 3.0877 Li
0.0000 2.1810 4.6209 Li
0.0000 2.1810 1.6104 Zn
2.1810 0.0000 4.5650 Zn



Looking at total DFT energy (no corrections) for the records above, in order, we have -2.773 -2.845 -2.782 -2.752 -2.869 -3.412 -3.415 -3.407 -2.523 -2.283 -3.411 -3.545 -3.679 -3.423 -3.626 -4.339 -3.300 -4.534 -2.939 -2.875 -2.594 -3.929 -3.918 -3.932 -2.526 -2.456 -2.264 eV per atom.